{"formula": "Co3AgF", "functional": "PBE+U", "state": "relaxed", "cell": [[4.8710, 0.0000, 0.0000], [0.0000, 4.8710, 0.0000], [0.0000, 0.0000, 4.8710]], "species": ["Co", "Co", "Co", "Ag", "F"], "frac_coords": [[0.0000, 0.0000, 0.5000], [0.0000, 0.5000, 0.0000], [0.5000, 0.0000, 0.0000], [0.0000, 0.0000, 0.0000], [0.5000, 0.5000, 0.5000]], "volume_a3_per_atom": 23.1, "magnetic_moment_mub_per_atom": 1.52, "relative_energy_mev_per_atom": 847}